VASP calculation (PBE-GGA) on crystalline Nd4IrRhI2 at its relaxed geometry.

Calculated values
Formation energy without anion corrections: -0.955 eV per atom
Density of states at the Fermi level: 1.57 states/eV per cell
Spin magnetization: 0.0 μB per formula unit

Structure (CIF):
```
data_Nd4IrRhI2
_chemical_formula_sum 'Nd4 Ir1 Rh1 I2'
_symmetry_space_group_name_H-M 'P 1'
_symmetry_Int_Tables_number 1
_symmetry_space_group_name_Hall 'P 1'
_cell_length_a 4.200
_cell_length_b 7.268
_cell_length_c 8.492
_cell_angle_alpha 106.54
_cell_angle_beta 90.00
_cell_angle_gamma 90.00
loop_
_atom_site_label
_atom_site_fract_x
_atom_site_fract_y
_atom_site_fract_z
I1 0.000 0.500 0.500
I2 0.500 0.000 0.500
Nd1 0.500 0.773 0.815
Nd2 0.000 0.271 0.815
Nd3 0.000 0.729 0.185
Nd4 0.500 0.227 0.185
Ir1 0.000 0.000 0.000
Rh1 0.500 0.500 0.000
```



VASP calculation (PBE-GGA) on crystalline Cr3SiAu at its relaxed geometry.

Calculated values
Formation energy without anion corrections: 1.494 eV per atom
Density of states at the Fermi level: 4.81 states/eV per cell
Offset from the most stable computed form: 617 meV/atom
Spin magnetization: 12.5 μB per formula unit

Structure (CIF):
```
data_Cr3SiAu
_chemical_formula_sum 'Cr3 Si1 Au1'
_symmetry_space_group_name_H-M 'P 1'
_symmetry_Int_Tables_number 1
_symmetry_space_group_name_Hall 'P 1'
_cell_length_a 4.949
_cell_length_b 4.949
_cell_length_c 4.949
_cell_angle_alpha 90.00
_cell_angle_beta 90.00
_cell_angle_gamma 90.00
loop_
_atom_site_label
_atom_site_fract_x
_atom_site_fract_y
_atom_site_fract_z
Cr1 0.000 0.500 0.000
Cr2 0.500 0.000 0.000
Cr3 0.000 0.000 0.500
Si1 0.500 0.500 0.500
Au1 0.000 0.000 0.000
```



VASP calculation (PBE-GGA) on crystalline CaCuSi2 at its relaxed geometry.

Calculated values
Formation energy without anion corrections: 0.173 eV per atom
Density of states at the Fermi level: 2.68 states/eV per cell
Spin magnetization: 0.0 μB per formula unit

Structure (CIF):
```
data_CaCuSi2
_chemical_formula_sum 'Ca1 Cu1 Si2'
_symmetry_space_group_name_H-M 'P 1'
_symmetry_Int_Tables_number 1
_symmetry_space_group_name_Hall 'P 1'
_cell_length_a 5.293
_cell_length_b 5.293
_cell_length_c 5.293
_cell_angle_alpha 135.65
_cell_angle_beta 135.65
_cell_angle_gamma 64.53
loop_
_atom_site_label
_atom_site_fract_x
_atom_site_fract_y
_atom_site_fract_z
Cu1 0.750 0.250 0.500
Ca1 0.250 0.750 0.500
Si1 0.500 0.500 0.000
Si2 0.000 0.000 0.000
```